(1)
A geometry-optimized Pr4SnPb3 structure, computed with PBE.

ΔH_f (0 K)	-0.625	eV/atom
symmetry	Pmm2

Cell lengths 4.7168, 4.5288, 12.0089 Å; angles 90.00, 90.00, 90.00 degrees
Element x y z (fractional)
Pr: 0.5000 0.5000 0.3635
Pr: 0.0000 0.5000 0.8688
Pr: 0.0000 0.0000 0.1335
Pr: 0.5000 0.0000 0.6336
Sn: 0.5000 0.5000 0.0921
Pb: 0.0000 0.5000 0.5955
Pb: 0.0000 0.0000 0.4057
Pb: 0.5000 0.0000 0.9074

(2)
A geometry-optimized PaHgGe2O8 structure, computed with PBE.

symmetry	I-4m2
formation energy without anion corrections	-1.76	eV/atom

Cell lengths 5.9779, 5.9779, 5.9779 Å; angles 108.44, 108.44, 111.55 degrees
Element x y z (fractional)
Pa: 0.2500 0.7500 0.5000
Hg: 0.0000 0.0000 0.0000
Ge: 0.7500 0.2500 0.5000
Ge: 0.5000 0.5000 0.0000
O: 0.3821 0.0602 0.3219
O: 0.3332 0.5294 0.1963
O: 0.3332 0.1369 0.8037
O: 0.7383 0.0602 0.6781
O: 0.8631 0.6669 0.1963
O: 0.9398 0.2617 0.3219
O: 0.9398 0.6179 0.6781
O: 0.4706 0.6669 0.8037

(3)
A geometry-optimized Rb3Ga4Au structure, computed with PBE.

ΔH_f (0 K)	-0.091	eV/atom
symmetry	Pmmn

Cell lengths 6.2765, 6.0599, 14.5223 Å; angles 90.00, 90.00, 90.00 degrees
Element x y z (fractional)
Au: 0.6816 0.5000 0.0000
Au: 0.3184 0.0000 0.5000
Ga: 0.2952 0.5000 0.9024
Ga: 0.2952 0.5000 0.0976
Ga: 0.0230 0.2270 0.0000
Ga: 0.0230 0.7730 0.0000
Ga: 0.9770 0.7270 0.5000
Ga: 0.9770 0.2730 0.5000
Ga: 0.7048 0.0000 0.4024
Ga: 0.7048 0.0000 0.5976
Rb: 0.5156 0.0000 0.0000
Rb: 0.4844 0.5000 0.5000
Rb: 0.7836 0.5000 0.7592
Rb: 0.7836 0.5000 0.2408
Rb: 0.2164 0.0000 0.7408
Rb: 0.2164 0.0000 0.2592

(4)
A geometry-optimized LiGdPuIn structure, computed with PBE.

ΔH_f (0 K)	-0.046	eV/atom
symmetry	F-43m

Cell lengths 5.3159, 5.3159, 5.3159 Å; angles 60.00, 60.00, 60.00 degrees
Element x y z (fractional)
Gd: 0.2500 0.2500 0.2500
In: 0.5000 0.5000 0.5000
Li: 0.0000 0.0000 0.0000
Pu: 0.7500 0.7500 0.7500

(5)
A geometry-optimized HfTaReRu structure, computed with PBE.

ΔH_f (0 K)	-0.542	eV/atom
energy above the lowest structure with this stoichiometry	0.000	eV/atom
symmetry	P4mm

Cell lengths 3.2202, 3.2202, 6.4562 Å; angles 90.00, 90.00, 90.00 degrees
Element x y z (fractional)
Hf: 0.0000 0.0000 0.3577
Ta: 0.0000 0.0000 0.8609
Re: 0.5000 0.5000 0.0972
Ru: 0.5000 0.5000 0.6122

(6)
A geometry-optimized BaSrMgIn structure, computed with PBE.

ΔH_f (0 K)	-0.248	eV/atom
symmetry	F-43m

Cell lengths 5.9487, 5.9487, 5.9487 Å; angles 60.00, 60.00, 60.00 degrees
Element x y z (fractional)
Sr: 0.7500 0.7500 0.7500
Mg: 0.0000 0.0000 0.0000
Ba: 0.2500 0.2500 0.2500
In: 0.5000 0.5000 0.5000

Repeat the third record exactly.
A geometry-optimized Rb3Ga4Au structure, computed with PBE.

ΔH_f (0 K)	-0.091	eV/atom
symmetry	Pmmn

Cell lengths 6.2765, 6.0599, 14.5223 Å; angles 90.00, 90.00, 90.00 degrees
Element x y z (fractional)
Au: 0.6816 0.5000 0.0000
Au: 0.3184 0.0000 0.5000
Ga: 0.2952 0.5000 0.9024
Ga: 0.2952 0.5000 0.0976
Ga: 0.0230 0.2270 0.0000
Ga: 0.0230 0.7730 0.0000
Ga: 0.9770 0.7270 0.5000
Ga: 0.9770 0.2730 0.5000
Ga: 0.7048 0.0000 0.4024
Ga: 0.7048 0.0000 0.5976
Rb: 0.5156 0.0000 0.0000
Rb: 0.4844 0.5000 0.5000
Rb: 0.7836 0.5000 0.7592
Rb: 0.7836 0.5000 0.2408
Rb: 0.2164 0.0000 0.7408
Rb: 0.2164 0.0000 0.2592